Entry 1:
Material: NdSmGa2Au2
Method: DFT, PBE-GGA
State: relaxed

Cell and atoms, written as POSCAR:
```
NdSmGa2Au2
1.0
-1.5871 -3.5953 2.3829
0.7571 -0.3901 -4.5164
6.9013 -2.1562 1.3431
Ga Nd Sm Au
2 1 1 2
Direct
0.6667 0.3333 0.2839 Ga
0.6667 0.3333 0.7161 Ga
0.0000 0.0000 0.0000 Nd
0.0000 0.0000 0.5000 Sm
0.3333 0.6667 0.7526 Au
0.3333 0.6667 0.2474 Au
```

Output
Symmetry: P-6m2
ρ, g/cm3: 10.220
VASP energy, eV per cell: -26.83
Total magnetization, μB/f.u.: 0.0



Entry 2:
Material: Cd2OF2
Method: DFT, PBE-GGA
State: relaxed

Cell and atoms, written as POSCAR:
```
Cd2OF2
1.0
6.2680 0.0000 0.0000
0.0000 6.2680 0.0000
-3.1340 -3.1340 5.4144
Cd F O
4 4 2
Direct
0.0000 0.0000 0.5000 Cd
0.0000 0.5000 0.0000 Cd
0.5000 0.0000 0.5000 Cd
0.0000 0.0000 0.0000 Cd
0.1484 0.3984 0.2967 F
0.3984 0.1484 0.7967 F
0.8516 0.6016 0.7033 F
0.6016 0.8516 0.2033 F
0.8750 0.1250 0.7500 O
0.1250 0.8750 0.2500 O
```

Output
Symmetry: I4_1/amd
ρ, g/cm3: 4.353
VASP energy, eV per cell: -35.75



Entry 3:
Material: HfCuSiIr
Method: DFT, PBE-GGA
State: relaxed

Cell and atoms, written as POSCAR:
```
HfCuSiIr
1.0
-1.1141 -4.2748 -0.2810
-2.9269 -1.3290 -3.0433
1.3444 -2.4149 -3.4576
Cu Hf Si Ir
1 1 1 1
Direct
0.7500 0.7500 0.7500 Cu
0.2500 0.2500 0.2500 Hf
0.5000 0.5000 0.5000 Si
0.0000 0.0000 0.0000 Ir
```

Output
Symmetry: F-43m
ρ, g/cm3: 12.518
VASP energy, eV per cell: -29.12
Total magnetization, μB/f.u.: 0.0



Entry 4:
Material: AcHf2
Method: DFT, PBE-GGA
State: relaxed

Cell and atoms, written as POSCAR:
```
AcHf2
1.0
1.1371 2.7678 9.2577
3.4099 -6.3050 6.5786
8.9365 1.1551 3.6694
Hf Ac
4 2
Direct
0.3750 0.3750 0.3750 Hf
0.3750 0.3750 0.8750 Hf
0.3750 0.8750 0.3750 Hf
0.8750 0.3750 0.3750 Hf
0.2500 0.2500 0.2500 Ac
0.5000 0.5000 0.5000 Ac
```

Output
Symmetry: Fd-3m
ρ, g/cm3: 2.978
Formation energy from the elements, eV per atom: 3.632
Total magnetization, μB/f.u.: 0.0



Entry 5:
Material: NaNd3Se4
Method: DFT, PBE-GGA
State: relaxed

Cell and atoms, written as POSCAR:
```
NaNd3Se4
1.0
-4.1048 6.0721 0.1382
-1.0426 -3.7531 6.2102
3.1721 2.1033 1.8037
Se Nd Na
4 3 1
Direct
0.2481 0.7519 0.0000 Se
0.7497 0.7497 0.5000 Se
0.2503 0.2503 0.5000 Se
0.7519 0.2481 0.0000 Se
0.0000 0.5000 0.5000 Nd
0.5000 0.0000 0.5000 Nd
0.5000 0.5000 0.0000 Nd
0.0000 0.0000 0.0000 Na
```

Output
Symmetry: Cmmm
ρ, g/cm3: 5.993
VASP energy, eV per cell: -43.71
Total magnetization, μB/f.u.: 0.0



Entry 6:
Material: Sr3Si4Pd2Au2
Method: DFT, PBE-GGA
State: relaxed

Cell and atoms, written as POSCAR:
```
Sr3Si4Pd2Au2
1.0
1.6114 11.2438 5.5465
-3.9675 11.6859 2.7356
-0.1656 -12.5468 -1.5278
Si Pd Sr Au
4 2 3 2
Direct
0.4519 0.9519 0.5000 Si
0.7039 0.7039 0.0000 Si
0.2961 0.2961 0.0000 Si
0.5481 0.0481 0.5000 Si
0.2488 0.7488 0.5000 Pd
0.7512 0.2512 0.5000 Pd
0.0000 0.5000 0.5000 Sr
0.1479 0.1479 0.0000 Sr
0.8521 0.8521 0.0000 Sr
0.4001 0.4001 0.0000 Au
0.5999 0.5999 0.0000 Au
```

Output
Symmetry: Immm
ρ, g/cm3: 6.790
VASP energy, eV per cell: -51.38